The following is a GGA-PBE calculation of a relaxed structure of TaBeAlNi, from OQMD.

a = 4.198 Å, b = 4.198 Å, c = 4.198 Å
α = 60.00°, β = 60.00°, γ = 60.00°
Atoms (fractional coordinates):
Ta1 0.000 0.000 0.000
Be1 0.750 0.750 0.750
Al1 0.250 0.250 0.250
Ni1 0.500 0.500 0.500

## Properties
V: 13.080 Å³/atom
Relative energy among the computed polymorphs: 22.9 kJ per mole of atoms
M_tot: 0.00 Bohr magnetons per cell